Tm2InGa3Ni4 after structural relaxation. Source: Alexandria via LeMat-Bulk, functional GGA-PBE.

Geometry as CIF:
```
data_Tm2InGa3Ni4
_chemical_formula_sum 'Tm2 In1 Ga3 Ni4'
_space_group_name_H-M_alt 'P -4 m 2'
_space_group_IT_number 115
_space_group_name_Hall 'P -4 -2'
_cell_length_a 4.0438
_cell_length_b 4.0438
_cell_length_c 10.3238
_cell_angle_alpha 90.00
_cell_angle_beta 90.00
_cell_angle_gamma 90.00
loop_
_atom_site_label
_atom_site_type_symbol
_atom_site_fract_x
_atom_site_fract_y
_atom_site_fract_z
Tm1 Tm 0.0000 0.5000 0.2364
In1 In 0.0000 0.0000 0.5000
Ga1 Ga 0.0000 0.5000 0.8776
Ga2 Ga 0.5000 0.5000 0.5000
Ni1 Ni 0.0000 0.0000 0.0000
Ni2 Ni 0.0000 0.5000 0.6515
Ni3 Ni 0.5000 0.5000 0.0000
```

Tm2InGa2Ni5 after structural relaxation. Source: Alexandria via LeMat-Bulk, functional GGA-PBE.

Geometry as CIF:
```
data_Tm2InGa2Ni5
_chemical_formula_sum 'Tm4 In2 Ga4 Ni10'
_space_group_name_H-M_alt 'P 4/m b m'
_space_group_IT_number 127
_space_group_name_Hall '-P 4 2ab'
_cell_length_a 9.4319
_cell_length_b 9.4319
_cell_length_c 3.5725
_cell_angle_alpha 90.00
_cell_angle_beta 90.00
_cell_angle_gamma 90.00
loop_
_atom_site_label
_atom_site_type_symbol
_atom_site_fract_x
_atom_site_fract_y
_atom_site_fract_z
Tm1 Tm 0.1792 0.3208 0.0000
In1 In 0.0000 0.0000 0.0000
Ga1 Ga 0.1173 0.6173 0.0000
Ni1 Ni 0.0000 0.5000 0.5000
Ni2 Ni 0.0614 0.7832 0.5000
```

Y2InGa3Ni4 after structural relaxation. Source: Alexandria via LeMat-Bulk, functional GGA-PBE.

Geometry as CIF:
```
data_Y2InGa3Ni4
_chemical_formula_sum 'Y2 In1 Ga3 Ni4'
_space_group_name_H-M_alt 'P -4 m 2'
_space_group_IT_number 115
_space_group_name_Hall 'P -4 -2'
_cell_length_a 4.0680
_cell_length_b 4.0680
_cell_length_c 10.4024
_cell_angle_alpha 90.00
_cell_angle_beta 90.00
_cell_angle_gamma 90.00
loop_
_atom_site_label
_atom_site_type_symbol
_atom_site_fract_x
_atom_site_fract_y
_atom_site_fract_z
Y1 Y 0.0000 0.5000 0.2382
In1 In 0.0000 0.0000 0.5000
Ga1 Ga 0.0000 0.5000 0.8782
Ga2 Ga 0.5000 0.5000 0.5000
Ni1 Ni 0.0000 0.0000 0.0000
Ni2 Ni 0.0000 0.5000 0.6509
Ni3 Ni 0.5000 0.5000 0.0000
```

ZnInGa2Ni after structural relaxation. Source: Alexandria via LeMat-Bulk, functional GGA-PBE.

Geometry as CIF:
```
data_ZnInGa2Ni
_chemical_formula_sum 'Zn1 In1 Ga2 Ni1'
_space_group_name_H-M_alt 'P 4/m m m'
_space_group_IT_number 123
_space_group_name_Hall '-P 4 2'
_cell_length_a 4.6045
_cell_length_b 4.6045
_cell_length_c 4.7388
_cell_angle_alpha 90.00
_cell_angle_beta 90.00
_cell_angle_gamma 90.00
loop_
_atom_site_label
_atom_site_type_symbol
_atom_site_fract_x
_atom_site_fract_y
_atom_site_fract_z
Zn1 Zn 0.0000 0.0000 0.0000
In1 In 0.5000 0.5000 0.0000
Ga1 Ga 0.0000 0.5000 0.5000
Ni1 Ni 0.0000 0.0000 0.5000
```

Number 1: N(E_F) 6.75 states/eV/f.u., raw total energy -4.87 eV/atom. Number 2: N(E_F) 8.02 states/eV/f.u., raw total energy -5.05 eV/atom. Number 3: N(E_F) 7.34 states/eV/f.u., raw total energy -5.29 eV/atom. Number 4: N(E_F) 1.75 states/eV/f.u., raw total energy -3.20 eV/atom.